(1)
The following is a GGA-PBE calculation of Nb2AlCoAg after structural relaxation, from Alexandria via LeMat-Bulk.

```
Nb2AlCoAg
1.0
4.5085 0.0000 0.0000
0.0000 4.5085 0.0000
0.0000 0.0000 4.7471
Nb Al Co Ag
2 1 1 1
Direct
0.0000 0.5000 0.0000 Nb
0.5000 0.0000 0.0000 Nb
0.0000 0.0000 0.5000 Al
0.5000 0.5000 0.0000 Co
0.5000 0.5000 0.5000 Ag
```

***

(2)
The following is a GGA-PBE calculation of Sc5Al2Co2Ag after structural relaxation, from Alexandria via LeMat-Bulk.

```
Sc5Al2Co2Ag
1.0
10.6354 0.0000 0.0000
0.0000 10.6354 0.0000
0.0000 0.0000 3.3519
Sc Al Co Ag
10 4 4 2
Direct
0.0000 0.5000 0.0000 Sc
0.0760 0.2075 0.0000 Sc
0.2075 0.9240 0.0000 Sc
0.2925 0.4240 0.0000 Sc
0.4240 0.7075 0.0000 Sc
0.5000 0.0000 0.0000 Sc
0.5760 0.2925 0.0000 Sc
0.7075 0.5760 0.0000 Sc
0.7925 0.0760 0.0000 Sc
0.9240 0.7925 0.0000 Sc
0.1746 0.6746 0.5000 Al
0.3254 0.1746 0.5000 Al
0.6746 0.8254 0.5000 Al
0.8254 0.3254 0.5000 Al
0.1332 0.3668 0.5000 Co
0.3668 0.8668 0.5000 Co
0.6332 0.1332 0.5000 Co
0.8668 0.6332 0.5000 Co
0.0000 0.0000 0.5000 Ag
0.5000 0.5000 0.5000 Ag
```

***

(3)
GGA-PBE AlCoAgSe2, relaxed; E_form (uncorrected) = 0.917 eV/atom
1.0
5.0979 0.0000 0.0000
0.0000 5.0979 0.0000
0.0000 0.0000 4.7956
Al Co Ag Se
1 1 1 2
Direct
0.0000 0.0000 0.0000 Al
0.5000 0.5000 0.0000 Co
0.5000 0.5000 0.5000 Ag
0.0000 0.5000 0.5000 Se
0.5000 0.0000 0.5000 Se

***

(4)
The following is a GGA-PBE calculation of AlCoAgSn2 after structural relaxation, from Alexandria via LeMat-Bulk.

```
AlCoAgSn2
1.0
4.7850 0.0000 0.0000
0.0000 4.7850 0.0000
0.0000 0.0000 5.0970
Al Co Ag Sn
1 1 1 2
Direct
0.0000 0.0000 0.0000 Al
0.5000 0.5000 0.5000 Co
0.5000 0.5000 0.0000 Ag
0.0000 0.5000 0.5000 Sn
0.5000 0.0000 0.5000 Sn
```

***

(5)
The following is a GGA-PBE calculation of Al2CoAgSn after structural relaxation, from Alexandria via LeMat-Bulk.

```
Al2CoAgSn
1.0
4.4624 0.0000 0.0000
0.0000 4.4624 0.0000
0.0000 0.0000 5.0594
Al Co Ag Sn
2 1 1 1
Direct
0.0000 0.5000 0.0000 Al
0.5000 0.0000 0.0000 Al
0.0000 0.0000 0.0000 Co
0.0000 0.0000 0.5000 Ag
0.5000 0.5000 0.5000 Sn
```

***

(6)
The following is a GGA-PBE calculation of TiAlCoAg after structural relaxation, from Alexandria via LeMat-Bulk.

```
TiAlCoAg
1.0
0.0000 3.0780 3.0780
3.0780 0.0000 3.0780
3.0780 3.0780 0.0000
Ti Al Co Ag
1 1 1 1
Direct
0.0000 0.0000 0.0000 Ti
0.5000 0.5000 0.5000 Al
0.7500 0.7500 0.7500 Co
0.2500 0.2500 0.2500 Ag
```

***

(7)
The following is a GGA-PBE calculation of Y2AlCoAg after structural relaxation, from Alexandria via LeMat-Bulk.

```
Y2AlCoAg
1.0
5.1176 0.0000 0.0000
0.0000 5.1176 0.0000
0.0000 0.0000 4.5365
Y Al Co Ag
2 1 1 1
Direct
0.0000 0.5000 0.0000 Y
0.5000 0.0000 0.0000 Y
0.0000 0.0000 0.5000 Al
0.0000 0.0000 0.0000 Co
0.5000 0.5000 0.5000 Ag
```

***

(8)
The following is a GGA-PBE calculation of ZrAlCoAg after structural relaxation, from Alexandria via LeMat-Bulk.

```
ZrAlCoAg
1.0
0.0000 3.1945 3.1945
3.1945 0.0000 3.1945
3.1945 3.1945 0.0000
Zr Al Co Ag
1 1 1 1
Direct
0.0000 0.0000 0.0000 Zr
0.5000 0.5000 0.5000 Al
0.7500 0.7500 0.7500 Co
0.2500 0.2500 0.2500 Ag
```

***

(9)
GGA-PBE AlCrAg, relaxed; excess energy over the best structure of this formula in the dataset = 90 meV/atom
1.0
2.7585 0.0000 0.0000
-1.3793 2.3890 0.0000
0.0000 0.0000 6.7527
Al Cr Ag
1 1 1
Direct
0.0000 0.0000 0.0000 Al
0.6667 0.3333 0.3054 Cr
0.3333 0.6667 0.6514 Ag

***

(10)
GGA-PBE AlCrAg, relaxed; excess energy over the best structure of this formula in the dataset = 0 meV/atom
1.0
4.4159 0.0000 0.0000
-2.2080 3.8243 0.0000
0.0000 0.0000 2.9234
Al Cr Ag
1 1 1
Direct
0.0000 0.0000 0.0000 Al
0.3333 0.6667 0.5000 Cr
0.6667 0.3333 0.0000 Ag

***

(11)
GGA-PBE AlCrAg, relaxed; excess energy over the best structure of this formula in the dataset = 287 meV/atom
1.0
0.0000 3.0409 3.0409
3.0409 0.0000 3.0409
3.0409 3.0409 0.0000
Al Cr Ag
1 1 1
Direct
0.0000 0.0000 0.0000 Al
0.2500 0.2500 0.2500 Cr
0.7500 0.7500 0.7500 Ag

***

(12)
GGA-PBE AlCrAg, relaxed; excess energy over the best structure of this formula in the dataset = 0 meV/atom
1.0
-1.5087 1.5087 5.2212
1.5087 -1.5087 5.2212
1.5087 1.5087 -5.2212
Al Cr Ag
1 1 1
Direct
0.0000 0.0000 0.0000 Al
0.6473 0.6473 0.0000 Cr
0.3290 0.3290 0.0000 Ag

***

no.,raw total energy (eV per atom)
1,-6.075
2,-5.917
3,-3.216
4,-3.990
5,-4.063
6,-5.591
7,-5.504
8,-5.763
9,-5.133
10,-5.224
11,-4.937
12,-5.224